## LiErAgRh (PBE)

Data for an optimized crystal structure of LiErAgRh.

Unit cell a=4.694 b=4.694 c=4.694 alpha=60.00 beta=60.00 gamma=60.00
Fractional positions:
Ag1 0.000 0.000 0.000
Er1 0.750 0.750 0.750
Rh1 0.500 0.500 0.500
Li1 0.250 0.250 0.250

Summary:
Calculated total energy = -4.551 eV/atom

---

## LiErAgSb (PBE)

Data for an optimized crystal structure of LiErAgSb.

Unit cell a=5.006 b=5.006 c=5.006 alpha=60.00 beta=60.00 gamma=60.00
Fractional positions:
Li1 0.000 0.000 0.000
Sb1 0.750 0.750 0.750
Ag1 0.250 0.250 0.250
Er1 0.500 0.500 0.500

Summary:
Formation energy without anion corrections = -0.52 eV/atom
Calculated total energy = -3.886 eV/atom

---

## LiErScAg (PBE)

Data for an optimized crystal structure of LiErScAg.

Unit cell a=4.986 b=4.986 c=4.986 alpha=60.00 beta=60.00 gamma=60.00
Fractional positions:
Li1 0.750 0.750 0.750
Ag1 0.250 0.250 0.250
Er1 0.000 0.000 0.000
Sc1 0.500 0.500 0.500

Summary:
Calculated total energy = -3.995 eV/atom

---

## LiEr2AgSe4 (PBE)

Data for an optimized crystal structure of LiEr2AgSe4.

Unit cell a=4.090 b=7.072 c=6.951 alpha=109.92 beta=90.00 gamma=90.00
Fractional positions:
Er1 0.500 0.000 0.500
Se1 0.000 0.748 0.254
Li1 0.500 0.500 0.000
Se2 0.000 0.252 0.746
Se3 0.500 0.746 0.745
Se4 0.500 0.254 0.255
Ag1 0.000 0.000 0.000
Er2 0.000 0.500 0.500

Summary:
Formation energy without anion corrections = -1.43 eV/atom
Calculated total energy = -4.904 eV/atom

---

## SrLiErAg (PBE)

Data for an optimized crystal structure of SrLiErAg.

Unit cell a=5.367 b=5.367 c=5.367 alpha=60.00 beta=60.00 gamma=60.00
Fractional positions:
Er1 0.000 0.000 0.000
Sr1 0.500 0.500 0.500
Li1 0.750 0.750 0.750
Ag1 0.250 0.250 0.250

Summary:
Calculated total energy = -2.771 eV/atom

---

## LiEr2AgTe4 (PBE)

Data for an optimized crystal structure of LiEr2AgTe4.

Unit cell a=4.346 b=7.516 c=7.513 alpha=109.89 beta=90.00 gamma=90.00
Fractional positions:
Te1 0.500 0.249 0.248
Er1 0.000 0.500 0.500
Te2 0.500 0.751 0.752
Te3 0.000 0.253 0.751
Er2 0.500 0.000 0.500
Te4 0.000 0.747 0.249
Li1 0.500 0.500 0.000
Ag1 0.000 0.000 0.000

Summary:
Formation energy without anion corrections = -1.05 eV/atom
Calculated total energy = -4.355 eV/atom

---

## Li2ErTl2Ag2 (PBE)

Data for an optimized crystal structure of Li2ErTl2Ag2.

Unit cell a=4.853 b=4.853 c=7.726 alpha=71.69 beta=71.69 gamma=60.00
Fractional positions:
Tl1 0.729 0.729 0.813
Er1 0.000 0.000 0.000
Li1 0.856 0.856 0.433
Tl2 0.271 0.271 0.187
Ag1 0.569 0.569 0.294
Ag2 0.431 0.431 0.706
Li2 0.144 0.144 0.567

Summary:
Calculated total energy = -2.851 eV/atom

---

## LiErTlAg (PBE)

Data for an optimized crystal structure of LiErTlAg.

Unit cell a=4.985 b=4.985 c=4.985 alpha=60.00 beta=60.00 gamma=60.00
Fractional positions:
Er1 0.000 0.000 0.000
Ag1 0.250 0.250 0.250
Tl1 0.750 0.750 0.750
Li1 0.500 0.500 0.500

Summary:
Calculated total energy = -3.191 eV/atom